[1]
This record from Alexandria describes a geometry-optimized Sm12Rh3O5 structure. The functional is PBE-GGA.

The space group is Ia-3d (No. 230) and the conventional cell measures 15.5113, 15.5113 and 15.5113 Å, with angles of 90.00, 90.00 and 90.00 degrees. The asymmetric unit holds Sm at (0.0331, 0.0559, 0.6509), Rh at (0.0000, 0.2500, 0.1250), O at (0.0000, 0.0000, 0.0000) and O at (0.0000, 0.2500, 0.3750).

Its crystal system is cubic. The calculation puts the uncorrected formation energy at -1558 meV/atom. The density of states at the Fermi level comes out at 155.07 states/eV/cell.

---

[2]
This record from Alexandria describes a geometry-optimized ScTl2P2 structure. The functional is PBE-GGA.

The space group is P4/mbm (No. 127) and the conventional cell measures 6.6453, 6.6453 and 5.4170 Å, with angles of 90.00, 90.00 and 90.00 degrees. The asymmetric unit holds Sc at (0.0000, 0.0000, 0.0000), Tl at (0.1974, 0.3026, 0.5000) and P at (0.1165, 0.6165, 0.0000).

Its crystal system is tetragonal. The density of states at the Fermi level comes out at 3.98 states/eV/cell. For the formation energy, the calculation gives -0.264 eV per atom.

---

[3]
This record from Alexandria describes a geometry-optimized NiPbCl2 structure. The functional is PBE-GGA.

The space group is P2/m (No. 10) and the conventional cell measures 4.6134, 3.5964 and 5.7247 Å, with angles of 90.00, 111.89 and 90.00 degrees. The asymmetric unit holds Ni at (0.0000, 0.0000, 0.0000), Pb at (0.0000, 0.5000, 0.5000), Cl at (0.5000, 0.0000, 0.5000) and Cl at (0.5000, 0.5000, 0.0000).

Its crystal system is monoclinic. The calculation puts the uncorrected formation energy at -14 meV/atom. For the distance to the lowest polymorph of the same formula, the calculation gives 0.458 eV/atom. The density of states at the Fermi level comes out at 3.03 states/eV/cell.

---

[4]
This record from Alexandria describes a geometry-optimized Pr6CoRu2I3 structure. The functional is PBE-GGA.

The space group is C2/m (No. 12) and the conventional cell measures 7.1781, 12.4336 and 8.5880 Å, with angles of 90.00, 106.18 and 90.00 degrees. The asymmetric unit holds Pr at (0.2267, 0.1647, 0.1859), Pr at (0.2325, 0.5000, 0.1855), Co at (0.0000, 0.0000, 0.0000), Ru at (0.0000, 0.3332, 0.0000), I at (0.0000, 0.1680, 0.5000) and I at (0.0000, 0.5000, 0.5000).

Its crystal system is monoclinic. The calculation puts the uncorrected formation energy at -598 meV/atom. The density of states at the Fermi level comes out at 12.56 states/eV/cell.

---

[5]
This record from Alexandria describes a geometry-optimized LaPr2HoTm structure. The functional is PBE-GGA.

The space group is P2/c (No. 13) and the conventional cell measures 8.8555, 6.4477 and 6.3854 Å, with angles of 90.00, 102.01 and 90.00 degrees. The asymmetric unit holds La at (0.0000, 0.0000, 0.0000), Pr at (0.3158, 0.3114, 0.1848), Ho at (0.0000, 0.4589, 0.7500) and Tm at (0.5000, 0.1687, 0.7500).

Its crystal system is monoclinic. The density of states at the Fermi level comes out at 14.58 states/eV/cell. For the formation energy, the calculation gives 0.278 eV per atom.

---

[6]
This record from Alexandria describes a geometry-optimized NaPm2CdHg4 structure. The functional is PBE-GGA.

The space group is R-3m (No. 166, hexagonal axes) and the conventional cell measures 5.1984, 5.1984 and 25.5310 Å, with angles of 90.00, 90.00 and 120.00 degrees. The asymmetric unit holds Na at (0.0000, 0.0000, 0.0000), Pm at (0.0000, 0.0000, 0.2468), Cd at (0.0000, 0.0000, 0.5000), Hg at (0.0000, 0.0000, 0.1220) and Hg at (0.0000, 0.0000, 0.3723).

Its crystal system is trigonal. The density of states at the Fermi level comes out at 10.77 states/eV/cell. For the formation energy, the calculation gives -0.396 eV per atom.

---

[7]
This record from Alexandria describes a geometry-optimized TbTmPu2 structure. The functional is PBE-GGA.

The space group is Fm-3m (No. 225) and the conventional cell measures 7.7327, 7.7327 and 7.7327 Å, with angles of 90.00, 90.00 and 90.00 degrees. The asymmetric unit holds Tb at (0.0000, 0.0000, 0.0000), Tm at (0.0000, 0.0000, 0.5000) and Pu at (0.2500, 0.2500, 0.2500).

Its crystal system is cubic. For the distance to the lowest polymorph of the same formula, the calculation gives 0.102 eV/atom. The density of states at the Fermi level comes out at 51.40 states/eV/cell. For the formation energy, the calculation gives 0.269 eV per atom.

---

[8]
This record from Alexandria describes a geometry-optimized Tb2Y6Ho3Sc structure. The functional is PBE-GGA.

The space group is C2/m (No. 12) and the conventional cell measures 6.1202, 10.5903 and 11.7142 Å, with angles of 90.00, 99.99 and 90.00 degrees. The asymmetric unit holds Tb at (0.0000, 0.1666, 0.0000), Y at (0.2478, 0.3345, 0.2483), Y at (0.2485, 0.5000, 0.7514), Ho at (0.0000, 0.0000, 0.5000), Ho at (0.0000, 0.3336, 0.5000) and Sc at (0.0000, 0.5000, 0.0000).

Its crystal system is monoclinic. The density of states at the Fermi level comes out at 35.43 states/eV/cell. For the formation energy, the calculation gives 0.032 eV per atom.

---

[9]
This record from Alexandria describes a geometry-optimized TmBe3Co3 structure. The functional is PBE-GGA.

The space group is Pm-3n (No. 223) and the conventional cell measures 5.6770, 5.6770 and 5.6770 Å, with angles of 90.00, 90.00 and 90.00 degrees. The asymmetric unit holds Tm at (0.0000, 0.0000, 0.0000), Be at (0.0000, 0.2500, 0.5000) and Co at (0.0000, 0.5000, 0.2500).

Its crystal system is cubic. The density of states at the Fermi level comes out at 8.29 states/eV/cell. For the formation energy, the calculation gives 0.260 eV per atom.

---

[10]
This record from Alexandria describes a geometry-optimized HoCu4Ru structure. The functional is PBE-GGA.

The space group is F-43m (No. 216) and the conventional cell measures 7.0204, 7.0204 and 7.0204 Å, with angles of 90.00, 90.00 and 90.00 degrees. The asymmetric unit holds Ho at (0.0000, 0.0000, 0.0000), Cu at (0.1239, 0.1239, 0.6239) and Ru at (0.2500, 0.2500, 0.2500).

Its crystal system is cubic. The density of states at the Fermi level comes out at 16.73 states/eV/cell. For the formation energy, the calculation gives -0.089 eV per atom.

---

[11]
This record from Alexandria describes a geometry-optimized PrYTmCu structure. The functional is PBE-GGA.

The space group is P4mm (No. 99) and the conventional cell measures 3.5140, 3.5140 and 8.7710 Å, with angles of 90.00, 90.00 and 90.00 degrees. The asymmetric unit holds Pr at (0.0000, 0.0000, 0.0000), Y at (0.5000, 0.5000, 0.6865), Tm at (0.5000, 0.5000, 0.3063) and Cu at (0.0000, 0.0000, 0.4876).

Its crystal system is tetragonal. The density of states at the Fermi level comes out at 4.15 states/eV/cell. For the formation energy, the calculation gives -0.107 eV per atom.

---

[12]
This record from Alexandria describes a geometry-optimized Co2AgRh structure. The functional is PBE-GGA.

The space group is Cm (No. 8) and the conventional cell measures 9.0435, 2.7013 and 4.6011 Å, with angles of 90.00, 104.39 and 90.00 degrees. The asymmetric unit holds Co at (0.0000, 0.0000, 0.0000), Co at (0.2195, 0.5000, 0.2520), Ag at (0.2381, 0.0000, 0.7626) and Rh at (0.4674, 0.0000, 0.4555).

Its crystal system is monoclinic. The density of states at the Fermi level comes out at 7.84 states/eV/cell. For the formation energy, the calculation gives 0.268 eV per atom.

---

E? In order: -6.732 -4.641 -3.309 -5.513 -4.429 -2.014 -9.172 -5.644 -5.021 -5.129 -5.060 -5.836 eV per atom.
M_tot? In order: 0.0 0.0 0.3 0.0 0.0 0.0 12.6 0.0 0.0 0.0 0.0 4.4 μB/f.u..